First-principles (PBE) data for CeGeS after structural relaxation, as listed in the Alexandria database.

CIF file:
```
data_CeGeS
_chemical_formula_sum 'Ce2 Ge2 S2'
_cell_length_a 3.9151
_cell_length_b 3.9151
_cell_length_c 8.8475
_cell_angle_alpha 102.78
_cell_angle_beta 102.78
_cell_angle_gamma 90.00
_space_group_name_H-M_alt 'P 1'
_space_group_IT_number 1
loop_
_space_group_symop_operation_xyz
'x,y,z'
loop_
_atom_site_label
_atom_site_type_symbol
_atom_site_fract_x
_atom_site_fract_y
_atom_site_fract_z
S1 S 0.8169 0.8169 0.6338
S2 S 0.1831 0.1831 0.3662
Ge1 Ge 0.5000 0.0000 0.0000
Ge2 Ge 0.0000 0.5000 0.0000
Ce1 Ce 0.3544 0.3544 0.7089
Ce2 Ce 0.6456 0.6456 0.2911
```

Summary:
Space-group type ... I4/mmm
Crystal system ... tetragonal
Raw formation energy ... -1.357 eV/atom

=====

First-principles (PBE) data for Na2NbV2S6 after structural relaxation, as listed in the Alexandria database.

CIF file:
```
data_Na2NbV2S6
_chemical_formula_sum 'Na2 Nb1 V2 S6'
_cell_length_a 5.8670
_cell_length_b 5.8670
_cell_length_c 7.2311
_cell_angle_alpha 96.37
_cell_angle_beta 96.37
_cell_angle_gamma 120.81
_space_group_name_H-M_alt 'P 1'
_space_group_IT_number 1
loop_
_space_group_symop_operation_xyz
'x,y,z'
loop_
_atom_site_label
_atom_site_type_symbol
_atom_site_fract_x
_atom_site_fract_y
_atom_site_fract_z
S1 S 0.5936 0.9447 0.3028
S2 S 0.2774 0.2774 0.2745
S3 S 0.7226 0.7226 0.7255
S4 S 0.9447 0.5936 0.3028
S5 S 0.0553 0.4064 0.6972
S6 S 0.4064 0.0553 0.6972
Na1 Na 0.8299 0.1701 0.0000
Na2 Na 0.1701 0.8299 0.0000
Nb1 Nb 0.0000 0.0000 0.5000
V1 V 0.3644 0.6356 0.5000
V2 V 0.6356 0.3644 0.5000
```

Summary:
Space-group type ... C2/m
Crystal system ... monoclinic
Raw formation energy ... -1.041 eV/atom

=====

First-principles (PBE) data for KAsOs2 after structural relaxation, as listed in the Alexandria database.

CIF file:
```
data_KAsOs2
_chemical_formula_sum 'K1 As1 Os2'
_cell_length_a 5.0525
_cell_length_b 2.6447
_cell_length_c 5.9648
_cell_angle_alpha 90.22
_cell_angle_beta 90.00
_cell_angle_gamma 90.00
_space_group_name_H-M_alt 'P 1'
_space_group_IT_number 1
loop_
_space_group_symop_operation_xyz
'x,y,z'
loop_
_atom_site_label
_atom_site_type_symbol
_atom_site_fract_x
_atom_site_fract_y
_atom_site_fract_z
As1 As 0.5000 0.2500 0.2500
Os1 Os 0.0000 0.2534 0.4449
Os2 Os 0.0000 0.2466 0.0551
K1 K 0.5000 0.7500 0.7500
```

Summary:
ΔE_f ... 1.067 eV/atom
Space-group type ... P2/m
Crystal system ... monoclinic

=====

First-principles (PBE) data for PuHfBiO6 after structural relaxation, as listed in the Alexandria database.

CIF file:
```
data_PuHfBiO6
_chemical_formula_sum 'Pu2 Hf2 Bi2 O12'
_cell_length_a 5.6432
_cell_length_b 5.6432
_cell_length_c 9.7485
_cell_angle_alpha 90.00
_cell_angle_beta 90.00
_cell_angle_gamma 120.00
_space_group_name_H-M_alt 'P 1'
_space_group_IT_number 1
loop_
_space_group_symop_operation_xyz
'x,y,z'
loop_
_atom_site_label
_atom_site_type_symbol
_atom_site_fract_x
_atom_site_fract_y
_atom_site_fract_z
O1 O 0.9936 0.3530 0.6379
O2 O 0.6406 0.9936 0.3621
O3 O 0.3594 0.0064 0.6379
O4 O 0.6470 0.6406 0.6379
O5 O 0.3530 0.9936 0.1379
O6 O 0.0064 0.3594 0.1379
O7 O 0.0064 0.6470 0.3621
O8 O 0.3530 0.3594 0.3621
O9 O 0.9936 0.6406 0.8621
O10 O 0.3594 0.3530 0.8621
O11 O 0.6470 0.0064 0.8621
O12 O 0.6406 0.6470 0.1379
Hf1 Hf 0.6667 0.3333 0.7500
Hf2 Hf 0.3333 0.6667 0.2500
Pu1 Pu 0.3333 0.6667 0.7500
Pu2 Pu 0.6667 0.3333 0.2500
Bi1 Bi 0.0000 0.0000 0.5000
Bi2 Bi 0.0000 0.0000 0.0000
```

Summary:
Space-group type ... P-31c
Crystal system ... trigonal
Raw formation energy ... -2.532 eV/atom

=====

First-principles (PBE) data for Pm2Ga2Au3 after structural relaxation, as listed in the Alexandria database.

CIF file:
```
data_Pm2Ga2Au3
_chemical_formula_sum 'Pm2 Ga2 Au3'
_cell_length_a 4.1103
_cell_length_b 6.1443
_cell_length_c 6.5677
_cell_angle_alpha 98.72
_cell_angle_beta 90.00
_cell_angle_gamma 109.54
_space_group_name_H-M_alt 'P 1'
_space_group_IT_number 1
loop_
_space_group_symop_operation_xyz
'x,y,z'
loop_
_atom_site_label
_atom_site_type_symbol
_atom_site_fract_x
_atom_site_fract_y
_atom_site_fract_z
Ga1 Ga 0.0890 0.1779 0.6584
Ga2 Ga 0.9110 0.8221 0.3416
Au1 Au 0.6968 0.3936 0.8538
Au2 Au 0.3032 0.6064 0.1462
Au3 Au 0.0000 0.0000 0.0000
Pm1 Pm 0.6322 0.2643 0.3125
Pm2 Pm 0.3678 0.7357 0.6875
```

Summary:
Offset from the most stable computed form ... 0.046 eV/atom
ΔE_f ... -0.644 eV/atom
Space-group type ... C2/m
Crystal system ... monoclinic

=====

First-principles (PBE) data for Lu2MgTi after structural relaxation, as listed in the Alexandria database.

CIF file:
```
data_Lu2MgTi
_chemical_formula_sum 'Lu2 Mg1 Ti1'
_cell_length_a 3.3442
_cell_length_b 3.3442
_cell_length_c 8.7745
_cell_angle_alpha 90.00
_cell_angle_beta 90.00
_cell_angle_gamma 90.00
_space_group_name_H-M_alt 'P 1'
_space_group_IT_number 1
loop_
_space_group_symop_operation_xyz
'x,y,z'
loop_
_atom_site_label
_atom_site_type_symbol
_atom_site_fract_x
_atom_site_fract_y
_atom_site_fract_z
Lu1 Lu 0.0000 0.0000 0.2304
Lu2 Lu 0.0000 0.0000 0.7696
Ti1 Ti 0.5000 0.5000 0.0000
Mg1 Mg 0.5000 0.5000 0.5000
```

Summary:
Offset from the most stable computed form ... 0.000 eV/atom
ΔE_f ... 0.043 eV/atom
Space-group type ... P4/mmm
Crystal system ... tetragonal

=====

First-principles (PBE) data for ZrNiH2 after structural relaxation, as listed in the Alexandria database.

CIF file:
```
data_ZrNiH2
_chemical_formula_sum 'Zr4 Ni4 H8'
_cell_length_a 5.5166
_cell_length_b 5.5809
_cell_length_c 5.5794
_cell_angle_alpha 111.75
_cell_angle_beta 90.00
_cell_angle_gamma 90.00
_space_group_name_H-M_alt 'P 1'
_space_group_IT_number 1
loop_
_space_group_symop_operation_xyz
'x,y,z'
loop_
_atom_site_label
_atom_site_type_symbol
_atom_site_fract_x
_atom_site_fract_y
_atom_site_fract_z
H1 H 0.1550 0.8879 0.8960
H2 H 0.3450 0.3879 0.3960
H3 H 0.5993 0.8024 0.2693
H4 H 0.0993 0.6976 0.2307
H5 H 0.6550 0.6121 0.6040
H6 H 0.9007 0.3024 0.7693
H7 H 0.8450 0.1121 0.1040
H8 H 0.4007 0.1976 0.7307
Ni1 Ni 0.1286 0.3337 0.5806
Ni2 Ni 0.8714 0.6663 0.4194
Ni3 Ni 0.3714 0.8337 0.0806
Ni4 Ni 0.6286 0.1663 0.9194
Zr1 Zr 0.3432 0.7817 0.5540
Zr2 Zr 0.1568 0.2817 0.0540
Zr3 Zr 0.8432 0.7183 0.9460
Zr4 Zr 0.6568 0.2183 0.4460
```

Summary:
Offset from the most stable computed form ... 0.078 eV/atom
Space-group type ... P2_1/c
Crystal system ... monoclinic

=====

| no. | total magnetic moment (μB/atom) |
| --- | --- |
| 1 | 0.07 |
| 2 | 0.00 |
| 3 | 0.00 |
| 4 | 0.33 |
| 5 | 0.00 |
| 6 | 0.00 |
| 7 | 0.00 |